LaZr2Mo: optimized geometry, GGA-PBE.

Lattice parameters (Å, degrees): 3.524 5.076 5.048 90.00 90.00 90.00
Positions (direct):
Mo (0.000, 0.500, 0.500)
Zr (0.500, 0.500, 0.000)
Zr (0.000, 0.000, 0.000)
La (0.500, 0.000, 0.500)

Results
As for the density: 7.7 g/cm3. As for the space group: Pmmm (47). The total energy comes out at -0.57403 Ry per atom. For the size of the total moment, the calculation gives 0.160 μB per atom. Its energy relative to the elements is 0.40 eV/atom.